Version one
{"formula": "CdPt2Br", "functional": "PBEsol", "state": "optimized geometry", "cell": [[-1.430, 0.871, -2.432], [4.050, -0.910, -2.707], [-2.685, -4.165, 0.088]], "species": ["Br", "Pt", "Pt", "Cd"], "fractional_positions": [[0.500, 0.000, 0.000], [0.000, 0.500, 0.000], [0.000, 0.000, 0.500], [0.500, 0.500, 0.500]]}

Version two
{"formula": "CdPt2Br", "functional": "PBEsol", "state": "optimized geometry", "cell": [[-4.157, -0.788, 1.856], [-3.597, -0.989, -2.726], [-1.772, -4.267, -0.029]], "species": ["Br", "Pt", "Cd", "Pt"], "fractional_positions": [[0.000, 0.000, 0.000], [0.250, 0.250, 0.250], [0.500, 0.500, 0.500], [0.750, 0.750, 0.750]]}

Most stable = version one

Version one
{"formula": "Cd2PtBr", "functional": "PBEsol", "state": "optimized geometry", "cell": [[3.318, 0.000, 0.000], [1.659, 2.874, 0.000], [1.659, 0.958, 8.450]], "species": ["Cd", "Pt", "Br", "Cd"], "fractional_positions": [[0.755, 0.755, 0.734], [0.499, 0.499, 0.504], [0.247, 0.247, 0.259], [0.999, 0.999, 0.003]]}

Version two
{"formula": "Cd2PtBr", "functional": "PBEsol", "state": "optimized geometry", "cell": [[3.100, 0.000, 0.000], [0.000, 5.011, 0.000], [0.000, 0.000, 5.011]], "species": ["Cd", "Br", "Cd", "Pt"], "fractional_positions": [[0.500, 0.500, 0.000], [0.000, 0.500, 0.500], [0.500, 0.000, 0.500], [0.000, 0.000, 0.000]]}

Most stable = version two

Version one
{"formula": "CdRe2Br", "functional": "PBEsol", "state": "optimized geometry", "cell": [[-1.749, 1.156, -1.855], [1.402, -1.230, -2.088], [-5.080, -6.764, 0.573]], "species": ["Re", "Cd", "Br", "Re"], "fractional_positions": [[0.000, 0.000, 0.758], [0.500, 0.500, 0.500], [0.500, 0.500, 0.000], [0.000, 0.000, 0.242]]}

Version two
{"formula": "CdRe2Br", "functional": "PBEsol", "state": "optimized geometry", "cell": [[-1.127, -0.445, 2.596], [-3.469, -3.458, -2.098], [5.221, -1.708, 0.394]], "species": ["Re", "Cd", "Br", "Re"], "fractional_positions": [[0.737, 0.183, 0.474], [0.271, 0.729, 0.542], [0.465, 0.453, 0.930], [0.027, 0.135, 0.054]]}

Version three
{"formula": "CdRe2Br", "functional": "PBEsol", "state": "optimized geometry", "cell": [[3.135, -0.005, 0.000], [-0.028, 4.367, 0.000], [-1.553, -2.181, 5.165]], "species": ["Br", "Cd", "Re", "Re"], "fractional_positions": [[0.000, 0.000, 0.000], [0.500, 0.500, 0.000], [0.000, 0.500, 0.500], [0.500, 0.000, 0.500]]}

Most stable = version two

Version one
{"formula": "Cd2RhBr", "functional": "PBEsol", "state": "optimized geometry", "cell": [[-2.178, 1.594, -1.316], [1.285, -1.426, -3.854], [-3.396, -4.916, 3.092]], "species": ["Br", "Cd", "Cd", "Rh"], "fractional_positions": [[0.000, 0.500, 0.000], [0.192, 0.192, 0.384], [0.808, 0.808, 0.616], [0.500, 0.000, 0.000]]}

Version two
{"formula": "Cd2RhBr", "functional": "PBEsol", "state": "optimized geometry", "cell": [[4.029, 0.000, 0.000], [0.000, 4.029, 0.000], [-2.014, -2.014, 4.545]], "species": ["Cd", "Rh", "Cd", "Br"], "fractional_positions": [[0.750, 0.250, 0.500], [0.000, 0.000, 0.000], [0.250, 0.750, 0.500], [0.500, 0.500, 0.000]]}

Most stable = version one

Version one
{"formula": "CdS2Br", "functional": "PBEsol", "state": "optimized geometry", "cell": [[-3.481, -3.002, 1.215], [0.307, -2.485, 4.042], [-2.865, 1.034, 3.650]], "species": ["S", "Cd", "S", "Br"], "fractional_positions": [[0.250, 0.250, 0.250], [0.500, 0.500, 0.500], [0.750, 0.750, 0.750], [0.000, 0.000, 0.000]]}

Version two
{"formula": "CdS2Br", "functional": "PBEsol", "state": "optimized geometry", "cell": [[-4.931, 1.345, -1.201], [-1.712, -4.591, 1.886], [2.527, 4.655, 6.315]], "species": ["S", "Cd", "Cd", "S", "Br", "Br", "S", "S"], "fractional_positions": [[0.125, 0.119, 0.750], [0.000, 0.000, 0.000], [0.250, 0.750, 0.500], [0.369, 0.875, 0.250], [0.750, 0.250, 0.500], [0.500, 0.500, 0.000], [0.881, 0.375, 0.250], [0.625, 0.631, 0.750]]}

Most stable = version two

Version one
{"formula": "CdSb2Br", "functional": "PBEsol", "state": "optimized geometry", "cell": [[-0.599, 0.810, -3.305], [4.666, -1.114, -1.119], [-3.693, -5.672, 1.086]], "species": ["Sb", "Sb", "Br", "Cd"], "fractional_positions": [[0.705, 0.705, 0.409], [0.295, 0.295, 0.591], [0.500, 0.000, 0.000], [0.000, 0.500, 0.000]]}

Version two
{"formula": "CdSb2Br", "functional": "PBEsol", "state": "optimized geometry", "cell": [[4.056, 0.000, 0.000], [2.028, 3.513, 0.000], [2.028, 1.171, 8.203]], "species": ["Cd", "Sb", "Sb", "Br"], "fractional_positions": [[0.250, 0.250, 0.251], [0.734, 0.734, 0.799], [0.998, 0.998, 0.006], [0.519, 0.519, 0.444]]}

Version three
{"formula": "CdSb2Br", "functional": "PBEsol", "state": "optimized geometry", "cell": [[-0.365, -1.370, -4.355], [4.348, -1.704, 0.172], [-1.747, -4.109, 3.428]], "species": ["Sb", "Br", "Sb", "Cd"], "fractional_positions": [[0.195, 0.000, 0.308], [0.500, 0.500, 0.000], [0.805, 0.000, 0.692], [0.000, 0.500, 0.500]]}

Most stable = version two